A relaxed RbBW crystal. Source: OQMD, functional PBE.

Lattice parameters (Å, degrees): 4.3321 4.3321 4.3321 60.00 60.00 60.00
Closest atoms and distances in Å follow each position.
Sites, in units of the cell vectors:
Rb: 0.0000 0.0000 0.0000  4 B 2.65
B: 0.2500 0.2500 0.2500  4 W 2.65, 4 Rb 2.65
W: 0.5000 0.5000 0.5000  4 B 2.65

- E above lowest polymorph (eV/f.u.) = 0.00
- raw total energy (eV/atom) = -4.206
- total magnetic moment (μB per atom) = 0.663
- mass density (g/cm³) = 8.091

***

A relaxed NiPt3N6 crystal. Source: OQMD, functional PBE.

Lattice parameters (Å, degrees): 6.2603 6.2603 3.0833 90.00 90.00 109.21
Closest atoms and distances in Å follow each position.
Sites, in units of the cell vectors:
Ni: 0.0000 0.0000 0.0000  4 N 1.99
Pt: 0.0000 0.5000 0.5000  4 N 1.97
Pt: 0.5000 0.0000 0.5000  4 N 1.97
Pt: 0.5000 0.5000 0.0000  4 N 1.93
N: 0.1232 0.8768 0.5000  2 Ni 1.99, 2 Pt 2.23
N: 0.1829 0.4662 0.0000  3 Pt 1.93-1.97
N: 0.4662 0.1829 0.0000  3 Pt 1.93-1.97
N: 0.5338 0.8171 0.0000  3 Pt 1.93-1.97
N: 0.8171 0.5338 0.0000  3 Pt 1.93-1.97
N: 0.8768 0.1232 0.5000  2 Ni 1.99, 2 Pt 2.23

- raw total energy (eV/atom) = -6.329
- total magnetic moment (μB per atom) = 0.001
- mass density (g/cm³) = 10.593

***

A relaxed LaErLu crystal. Source: OQMD, functional PBE.

Lattice parameters (Å, degrees): 5.4474 5.4474 5.4474 60.00 60.00 60.00
Closest atoms and distances in Å follow each position.
Sites, in units of the cell vectors:
La: 0.0000 0.0000 0.0000  4 Lu 3.34
Er: 0.5000 0.5000 0.5000  4 Lu 3.34
Lu: 0.7500 0.7500 0.7500  4 La 3.34, 4 Er 3.34

- E above lowest polymorph (eV/f.u.) = 0.00
- raw total energy (eV/atom) = -3.973
- energy of formation from the pure elements (eV/atom) = 0.70
- total magnetic moment (μB per atom) = 0.146
- mass density (g/cm³) = 6.990

***

A relaxed ReW2 crystal. Source: OQMD, functional PBE.

Lattice parameters (Å, degrees): 5.1972 5.1972 16.7644 90.00 90.00 120.00
Closest atoms and distances in Å follow each position.
Sites, in units of the cell vectors:
Re: 0.3333 0.6667 0.1253  6 W 2.58-2.59
Re: 0.3333 0.6667 0.3747  6 W 2.58-2.59
Re: 0.3333 0.6667 0.6562  12 W 3.02-3.17, 4 Re 3.04-3.15
Re: 0.3333 0.6667 0.8438  12 W 3.02-3.17, 4 Re 3.04-3.15
Re: 0.6667 0.3333 0.1562  12 W 3.02-3.17, 4 Re 3.04-3.15
Re: 0.6667 0.3333 0.3438  12 W 3.02-3.17, 4 Re 3.04-3.15
Re: 0.6667 0.3333 0.6253  6 W 2.58-2.59
Re: 0.6667 0.3333 0.8747  6 W 2.58-2.59
W: 0.0000 0.0000 0.0947  10 W 2.99-3.17, 6 Re 3.04-3.17
W: 0.0000 0.0000 0.4053  10 W 2.99-3.17, 6 Re 3.04-3.17
W: 0.0000 0.0000 0.5947  10 W 2.99-3.17, 6 Re 3.04-3.17
W: 0.0000 0.0000 0.9053  10 W 2.99-3.17, 6 Re 3.04-3.17
W: 0.0000 0.5000 0.0000  2 Re 2.58, 4 W 2.60
W: 0.0000 0.5000 0.5000  2 Re 2.58, 4 W 2.60
W: 0.1627 0.3253 0.2500  4 W 2.54-2.66, 2 Re 2.59
W: 0.1627 0.8373 0.2500  4 W 2.54-2.66, 2 Re 2.59
W: 0.3253 0.1627 0.7500  4 W 2.54-2.66, 2 Re 2.59
W: 0.5000 0.0000 0.0000  2 Re 2.58, 4 W 2.60
W: 0.5000 0.0000 0.5000  2 Re 2.58, 4 W 2.60
W: 0.5000 0.5000 0.0000  2 Re 2.58, 4 W 2.60
W: 0.5000 0.5000 0.5000  2 Re 2.58, 4 W 2.60
W: 0.6747 0.8373 0.2500  4 W 2.54-2.66, 2 Re 2.59
W: 0.8373 0.1627 0.7500  4 W 2.54-2.66, 2 Re 2.59
W: 0.8373 0.6747 0.7500  4 W 2.54-2.66, 2 Re 2.59

- E above lowest polymorph (eV/f.u.) = 1.16
- raw total energy (eV/atom) = -12.366
- energy of formation from the pure elements (eV/atom) = 0.42
- total magnetic moment (μB per atom) = 0.000
- mass density (g/cm³) = 18.763